TePtRhO6 | GGA-PBE | optimized geometry

## Properties
**E_tot**: -103.79 eV for the cell shown
**M_tot**: 0.0 μB per formula unit
**Volume**: 11.7 A^3/atom

Geometry as POSCAR:
```
TePtRhO6
1.0
5.2316 0.0000 0.0000
-2.6158 4.5307 0.0000
0.0000 0.0000 8.9128
Te Pt Rh O
2 2 2 12
direct
0.3333 0.6667 0.2500
0.6667 0.3333 0.7500
0.3333 0.6667 0.7500
0.6667 0.3333 0.2500
0.0000 0.0000 0.0000
0.0000 0.0000 0.5000
0.0044 0.3453 0.1267
0.0044 0.6591 0.3733
0.3409 0.3453 0.3733
0.3409 0.9956 0.1267
0.3453 0.0044 0.6267
0.3453 0.3409 0.8733
0.6547 0.6591 0.1267
0.6547 0.9956 0.3733
0.6591 0.0044 0.8733
0.6591 0.6547 0.6267
0.9956 0.3409 0.6267
0.9956 0.6547 0.8733
```



KFe2RuRh | GGA-PBE | optimized geometry

## Properties
**E_tot**: -25.77 eV for the cell shown
**M_tot**: 8.3 μB per formula unit
**Volume**: 22.3 A^3/atom
**Formation energy**: 1776 meV per atom

Geometry as POSCAR:
```
KFe2RuRh
1.0
4.6401 0.0000 0.0000
0.0000 4.6401 0.0000
0.0000 0.0000 5.1819
K Fe Ru Rh
1 2 1 1
direct
0.0000 0.0000 0.0000
0.0000 0.5000 0.5000
0.5000 0.0000 0.5000
0.0000 0.0000 0.5000
0.5000 0.5000 0.0000
```



Ho2Tc2Ge3 | GGA-PBE | optimized geometry

## Properties
**E_tot**: -94.42 eV for the cell shown
**M_tot**: 0.0 μB per formula unit
**Volume**: 20.1 A^3/atom
**Formation energy**: -496 meV per atom

Geometry as POSCAR:
```
Ho2Tc2Ge3
1.0
11.5005 0.0000 0.0000
0.0000 4.2801 0.0000
-4.5289 0.0000 5.7056
Ho Tc Ge
4 4 6
direct
0.0704 0.0000 0.3262
0.4296 0.5000 0.6738
0.5704 0.5000 0.3262
0.9296 0.0000 0.6738
0.2330 0.5000 0.0832
0.2670 0.0000 0.9168
0.7330 0.0000 0.0832
0.7670 0.5000 0.9168
0.0000 0.5000 0.0000
0.1471 0.5000 0.6643
0.3529 0.0000 0.3357
0.5000 0.0000 0.0000
0.6471 0.0000 0.6643
0.8529 0.5000 0.3357
```



Ta2CoTe | GGA-PBE | optimized geometry

## Properties
**E_tot**: -65.27 eV for the cell shown
**M_tot**: 0.7 μB per formula unit
**Volume**: 17.1 A^3/atom

Geometry as POSCAR:
```
Ta2CoTe
1.0
3.9805 0.0000 0.0000
0.0000 3.9805 0.0000
0.0000 0.0000 8.6441
Ta Co Te
4 2 2
direct
0.0000 0.0000 0.0000
0.0000 0.5000 0.2500
0.5000 0.0000 0.7500
0.5000 0.5000 0.5000
0.0000 0.0000 0.5000
0.5000 0.5000 0.0000
0.0000 0.5000 0.7500
0.5000 0.0000 0.2500
```



LiAcSi | GGA-PBE | optimized geometry

## Properties
**E_tot**: -23.49 eV for the cell shown
**M_tot**: 0.0 μB per formula unit
**Energy relative to the lowest polymorph listed for this composition**: 105 kJ/mol of formula units
**Volume**: 26.8 A^3/atom

Geometry as POSCAR:
```
LiAcSi
1.0
4.3215 0.0000 0.0000
0.0000 4.3215 0.0000
0.0000 0.0000 8.6098
Li Ac Si
2 2 2
direct
0.0000 0.0000 0.0000
0.5000 0.5000 0.5000
0.0000 0.0000 0.6637
0.5000 0.5000 0.1637
0.0000 0.0000 0.3015
0.5000 0.5000 0.8015
```



TaBiPt | GGA-PBE | optimized geometry

## Properties
**E_tot**: -44.71 eV for the cell shown
**M_tot**: 0.0 μB per formula unit
**Energy relative to the lowest polymorph listed for this composition**: 9 kJ/mol of formula units
**Volume**: 22.9 A^3/atom
**Formation energy**: -194 meV per atom

Geometry as POSCAR:
```
TaBiPt
1.0
4.3931 0.0000 0.0000
0.0000 2.9753 0.0000
-0.0124 0.0000 10.5041
Ta Bi Pt
2 2 2
direct
0.2495 0.0000 0.3399
0.7505 0.0000 0.6601
0.2527 0.5000 0.8464
0.7473 0.5000 0.1536
0.2503 0.5000 0.5743
0.7497 0.5000 0.4257
```



PmLuSnPd | GGA-PBE | optimized geometry

## Properties
**E_tot**: -85.18 eV for the cell shown
**M_tot**: 0.0 μB per formula unit
**Volume**: 24.6 A^3/atom
**Formation energy**: -707 meV per atom

Geometry as POSCAR:
```
PmLuSnPd
1.0
7.3236 0.0000 0.0000
0.0000 7.3236 0.0000
0.0000 0.0000 7.3236
Pm Lu Sn Pd
4 4 4 4
direct
0.0000 0.0000 0.0000
0.0000 0.5000 0.5000
0.5000 0.0000 0.5000
0.5000 0.5000 0.0000
0.0000 0.0000 0.5000
0.0000 0.5000 0.0000
0.5000 0.0000 0.0000
0.5000 0.5000 0.5000
0.2500 0.2500 0.2500
0.2500 0.7500 0.7500
0.7500 0.2500 0.7500
0.7500 0.7500 0.2500
0.2500 0.2500 0.7500
0.2500 0.7500 0.2500
0.7500 0.2500 0.2500
0.7500 0.7500 0.7500
```



YTiSbI2 | GGA-PBE | optimized geometry

## Properties
**E_tot**: -20.82 eV for the cell shown
**M_tot**: 2.1 μB per formula unit
**Energy relative to the lowest polymorph listed for this composition**: 120 kJ/mol of formula units
**Volume**: 41.4 A^3/atom

Geometry as POSCAR:
```
YTiSbI2
1.0
5.8180 0.0000 0.0000
0.0000 5.8180 0.0000
0.0000 0.0000 6.1196
Y Ti Sb I
1 1 1 2
direct
0.0000 0.0000 0.0000
0.5000 0.5000 0.5000
0.0000 0.0000 0.5000
0.0000 0.5000 0.0000
0.5000 0.0000 0.0000
```



MnGe | GGA-PBE | optimized geometry

## Properties
**E_tot**: -74.50 eV for the cell shown
**M_tot**: 3.0 μB per formula unit
**Volume**: 26.9 A^3/atom
**Formation energy**: 685 meV per atom

Geometry as POSCAR:
```
MnGe
1.0
6.8626 0.0000 0.0000
0.0000 6.8626 0.0000
0.0000 0.0000 6.8626
Mn Ge
6 6
direct
0.0000 0.2500 0.5000
0.0000 0.7500 0.5000
0.2500 0.5000 0.0000
0.5000 0.0000 0.2500
0.5000 0.0000 0.7500
0.7500 0.5000 0.0000
0.0000 0.5000 0.2500
0.0000 0.5000 0.7500
0.2500 0.0000 0.5000
0.5000 0.2500 0.0000
0.5000 0.7500 0.0000
0.7500 0.0000 0.5000
```



La2Os | GGA-PBE | optimized geometry

## Properties
**E_tot**: -83.93 eV for the cell shown
**M_tot**: 0.0 μB per formula unit
**Volume**: 27.2 A^3/atom
**Formation energy**: 34 meV per atom

Geometry as POSCAR:
```
La2Os
1.0
4.0977 0.0000 0.0000
0.0000 13.4812 0.0000
0.0000 0.0000 5.9191
La Os
8 4
direct
0.0000 0.0418 0.2500
0.0000 0.2428 0.7500
0.0000 0.7572 0.2500
0.0000 0.9582 0.7500
0.5000 0.2572 0.2500
0.5000 0.4582 0.7500
0.5000 0.5418 0.2500
0.5000 0.7428 0.7500
0.0000 0.3885 0.2500
0.0000 0.6115 0.7500
0.5000 0.1115 0.7500
0.5000 0.8885 0.2500
```



KLiAgF3 | GGA-PBE | optimized geometry

## Properties
**E_tot**: -49.28 eV for the cell shown
**M_tot**: 0.0 μB per formula unit
**Volume**: 15.3 A^3/atom

Geometry as POSCAR:
```
KLiAgF3
1.0
6.5559 0.0000 0.0000
0.0000 4.1777 0.0000
-2.6044 0.0000 6.6853
K Li Ag F
2 2 2 6
direct
0.0301 0.2500 0.2811
0.9699 0.7500 0.7189
0.4941 0.7500 0.3554
0.5059 0.2500 0.6446
0.3675 0.2500 0.0297
0.6325 0.7500 0.9703
0.2151 0.7500 0.1230
0.2276 0.2500 0.6949
0.4781 0.2500 0.3682
0.5219 0.7500 0.6318
0.7724 0.7500 0.3051
0.7849 0.2500 0.8770
```



NaTe2Pd | GGA-PBE | optimized geometry

## Properties
**E_tot**: -53.86 eV for the cell shown
**M_tot**: 0.0 μB per formula unit
**Energy relative to the lowest polymorph listed for this composition**: 111 kJ/mol of formula units
**Volume**: 23.3 A^3/atom

Geometry as POSCAR:
```
NaTe2Pd
1.0
7.1951 0.0000 0.0000
0.0000 7.1951 0.0000
0.0000 0.0000 7.1951
Na Te Pd
4 8 4
direct
0.0000 0.0000 0.0000
0.0000 0.5000 0.5000
0.5000 0.0000 0.5000
0.5000 0.5000 0.0000
0.2500 0.2500 0.2500
0.2500 0.2500 0.7500
0.2500 0.7500 0.2500
0.2500 0.7500 0.7500
0.7500 0.2500 0.2500
0.7500 0.2500 0.7500
0.7500 0.7500 0.2500
0.7500 0.7500 0.7500
0.0000 0.0000 0.5000
0.0000 0.5000 0.0000
0.5000 0.0000 0.0000
0.5000 0.5000 0.5000
```



KNpP2N6 | GGA-PBE | optimized geometry

## Properties
**E_tot**: -157.10 eV for the cell shown
**M_tot**: 0.0 μB per formula unit
**Volume**: 13.9 A^3/atom

Geometry as POSCAR:
```
KNpP2N6
1.0
5.1030 -5.2590 0.0000
5.1030 5.2590 0.0000
-1.4012 0.0000 5.1891
K Np P N
2 2 4 12
direct
0.0869 0.9131 0.7500
0.9131 0.0869 0.2500
0.2948 0.7052 0.2500
0.7052 0.2948 0.7500
0.2067 0.3620 0.8584
0.3620 0.2067 0.3584
0.6380 0.7933 0.6416
0.7933 0.6380 0.1416
0.0024 0.7207 0.2595
0.2221 0.5934 0.8939
0.2793 0.9976 0.2405
0.2823 0.3560 0.1717
0.3560 0.2823 0.6717
0.4066 0.7779 0.6061
0.5934 0.2221 0.3939
0.6440 0.7177 0.3283
0.7177 0.6440 0.8283
0.7207 0.0024 0.7595
0.7779 0.4066 0.1061
0.9976 0.2793 0.7405
```



Cr3PtS | GGA-PBE | optimized geometry

## Properties
**E_tot**: -33.47 eV for the cell shown
**M_tot**: 12.4 μB per formula unit
**Energy relative to the lowest polymorph listed for this composition**: 382 kJ/mol of formula units
**Volume**: 23.0 A^3/atom

Geometry as POSCAR:
```
Cr3PtS
1.0
4.8658 0.0000 0.0000
0.0000 4.8658 0.0000
0.0000 0.0000 4.8658
Cr Pt S
3 1 1
direct
0.0000 0.0000 0.5000
0.0000 0.5000 0.0000
0.5000 0.0000 0.0000
0.0000 0.0000 0.0000
0.5000 0.5000 0.5000
```



TiFe2SiH | GGA-PBE | optimized geometry

## Properties
**E_tot**: -35.26 eV for the cell shown
**M_tot**: 0.3 μB per formula unit
**Energy relative to the lowest polymorph listed for this composition**: 14 kJ/mol of formula units
**Volume**: 10.0 A^3/atom

Geometry as POSCAR:
```
TiFe2SiH
1.0
3.7546 0.0000 0.0000
0.0000 3.7546 0.0000
0.0000 0.0000 3.5385
Ti Fe Si H
1 2 1 1
direct
0.0000 0.0000 0.0000
0.0000 0.5000 0.5000
0.5000 0.0000 0.5000
0.5000 0.5000 0.0000
0.0000 0.0000 0.5000
```



V2RuPb | GGA-PBE | optimized geometry

## Properties
**E_tot**: -115.91 eV for the cell shown
**M_tot**: 0.0 μB per formula unit
**Volume**: 18.0 A^3/atom
**Formation energy**: 561 meV per atom

Geometry as POSCAR:
```
V2RuPb
1.0
7.2321 0.0000 0.0000
0.0000 7.2321 0.0000
0.0000 0.0000 5.5064
V Ru Pb
8 4 4
direct
0.1919 0.7500 0.1250
0.2500 0.1919 0.8750
0.2500 0.3081 0.3750
0.3081 0.7500 0.6250
0.6919 0.2500 0.6250
0.7500 0.6919 0.3750
0.7500 0.8081 0.8750
0.8081 0.2500 0.1250
0.0000 0.0000 0.0000
0.0000 0.5000 0.2500
0.5000 0.0000 0.7500
0.5000 0.5000 0.5000
0.0000 0.0000 0.5000
0.0000 0.5000 0.7500
0.5000 0.0000 0.2500
0.5000 0.5000 0.0000
```



LaWS3 | GGA-PBE | optimized geometry

## Properties
**E_tot**: -24.25 eV for the cell shown
**M_tot**: 0.0 μB per formula unit
**Energy relative to the lowest polymorph listed for this composition**: 1014 kJ/mol of formula units
**Volume**: 30.2 A^3/atom

Geometry as POSCAR:
```
LaWS3
1.0
5.3279 0.0000 0.0000
0.0000 5.3279 0.0000
0.0000 0.0000 5.3279
La W S
1 1 3
direct
0.0000 0.0000 0.0000
0.5000 0.5000 0.5000
0.0000 0.0000 0.5000
0.0000 0.5000 0.0000
0.5000 0.0000 0.0000
```



MnVHRh2 | GGA-PBE | optimized geometry

## Properties
**E_tot**: -37.56 eV for the cell shown
**M_tot**: 1.6 μB per formula unit
**Energy relative to the lowest polymorph listed for this composition**: 0 kJ/mol of formula units
**Volume**: 11.3 A^3/atom

Geometry as POSCAR:
```
MnVHRh2
1.0
3.8652 0.0000 0.0000
0.0000 3.8652 0.0000
0.0000 0.0000 3.7858
Mn V H Rh
1 1 1 2
direct
0.0000 0.0000 0.0000
0.5000 0.5000 0.0000
0.0000 0.0000 0.5000
0.0000 0.5000 0.5000
0.5000 0.0000 0.5000
```



Rb3NdSb2O9 | GGA-PBE | optimized geometry

## Properties
**E_tot**: -85.01 eV for the cell shown
**M_tot**: 2.1 μB per formula unit
**Volume**: 15.7 A^3/atom

Geometry as POSCAR:
```
Rb3NdSb2O9
1.0
6.0341 0.0000 0.0000
-3.0170 5.2257 0.0000
0.0000 0.0000 7.4630
Rb Nd Sb O
3 1 2 9
direct
0.0000 0.0000 0.0000
0.3333 0.6667 0.6652
0.6667 0.3333 0.3348
0.0000 0.0000 0.5000
0.3333 0.6667 0.1562
0.6667 0.3333 0.8438
0.0000 0.5000 0.0000
0.1786 0.3573 0.3085
0.1786 0.8214 0.3085
0.3573 0.1786 0.6915
0.5000 0.0000 0.0000
0.5000 0.5000 0.0000
0.6427 0.8214 0.3085
0.8214 0.1786 0.6915
0.8214 0.6427 0.6915
```



La2Al6NiPd | GGA-PBE | optimized geometry

## Properties
**E_tot**: -47.26 eV for the cell shown
**M_tot**: 0.0 μB per formula unit
**Volume**: 20.9 A^3/atom
**Formation energy**: -398 meV per atom

Geometry as POSCAR:
```
La2Al6NiPd
1.0
-3.3308 3.3370 4.7044
3.3308 -3.3370 4.7044
3.3308 3.3370 -4.7044
La Al Ni Pd
2 6 1 1
direct
0.2499 0.2499 0.0000
0.7501 0.7501 0.0000
0.2585 0.2415 0.5000
0.2585 0.7585 0.5000
0.2585 0.7585 0.0170
0.7415 0.2415 0.9830
0.7415 0.2415 0.5000
0.7415 0.7585 0.5000
0.5000 0.0000 0.5000
0.0000 0.5000 0.5000
```



no.,mass density (g cm⁻³)
1,8.200
2,5.280
3,8.795
4,13.298
5,5.412
6,14.151
7,9.217
8,4.107
9,3.933
10,9.508
11,3.825
12,6.858
13,5.033
14,5.523
15,6.280
16,9.459
17,4.600
18,9.181
19,5.562
20,4.802